# NdEr2GeN4 (PBE, optimized geometry)
# - E_form (uncorrected): -107.0 kJ per mole of atoms
# - Calculated total energy: -7.59 eV/atom
data_NdEr2GeN4
_cell_length_a 3.520
_cell_length_b 11.409
_cell_length_c 11.527
_cell_angle_alpha 90.00
_cell_angle_beta 90.00
_cell_angle_gamma 90.00
_space_group_name_H-M_alt 'C m c m'
_space_group_IT_number 63
_space_group_name_Hall '-C 2c 2'
loop_
_atom_site_label
_atom_site_fract_x
_atom_site_fract_y
_atom_site_fract_z
Nd1 0.000 0.098 0.250
Er1 0.000 0.370 0.043
Ge1 0.000 0.163 0.750
N1 0.000 0.000 0.000
N2 0.000 0.268 0.625
N3 0.000 0.422 0.250